The following is a DFT calculation (PBE+U) of an optimized crystal structure of GaFe2CuF.

Computed properties:
Calculated density   5.68 Mg/m³
E_tot   -3.958 eV per atom

a = 4.184 Å, b = 4.184 Å, c = 4.411 Å
α = 90.00°, β = 90.00°, γ = 90.00°
Sites, in units of the cell vectors:
Ga (0.000, 0.000, 0.000)
Fe (0.000, 0.500, 0.500)
Fe (0.500, 0.000, 0.500)
Cu (0.500, 0.500, 0.000)
F (0.500, 0.500, 0.500)